1.
First-principles (PBE) data for a relaxed Eu2LuHg crystal, as listed in the Alexandria database.

```
data_Eu2LuHg
_chemical_formula_sum 'Eu2 Lu1 Hg1'
_cell_length_a 3.7752
_cell_length_b 3.7752
_cell_length_c 9.0905
_cell_angle_alpha 90.00
_cell_angle_beta 90.00
_cell_angle_gamma 90.00
_space_group_name_H-M_alt 'P 4/m m m'
_space_group_IT_number 123
_space_group_name_Hall '-P 4 2'
loop_
_atom_site_label
_atom_site_type_symbol
_atom_site_fract_x
_atom_site_fract_y
_atom_site_fract_z
_atom_site_occupancy
Eu1 Eu 0.0000 0.0000 0.2189 1
Lu1 Lu 0.5000 0.5000 0.5000 1
Hg1 Hg 0.5000 0.5000 0.0000 1
```

Computed properties:
distance to the lowest polymorph of the same formula = 0.000 eV per atom
formation energy from the elements = -0.17 eV/atom

---

2.
First-principles (PBE) data for a relaxed Eu2LuHg crystal, as listed in the Alexandria database.

```
data_Eu2LuHg
_chemical_formula_sum 'Eu8 Lu4 Hg4'
_cell_length_a 7.9241
_cell_length_b 7.9241
_cell_length_c 7.9241
_cell_angle_alpha 90.00
_cell_angle_beta 90.00
_cell_angle_gamma 90.00
_space_group_name_H-M_alt 'F m -3 m'
_space_group_IT_number 225
_space_group_name_Hall '-F 4 2 3'
loop_
_atom_site_label
_atom_site_type_symbol
_atom_site_fract_x
_atom_site_fract_y
_atom_site_fract_z
_atom_site_occupancy
Eu1 Eu 0.2500 0.2500 0.2500 1
Lu1 Lu 0.0000 0.0000 0.0000 1
Hg1 Hg 0.0000 0.0000 0.5000 1
```

Computed properties:
distance to the lowest polymorph of the same formula = 0.129 eV per atom
formation energy from the elements = -0.04 eV/atom

---

3.
First-principles (PBE) data for a relaxed Eu2LuHg crystal, as listed in the Alexandria database.

```
data_Eu2LuHg
_chemical_formula_sum 'Eu2 Lu1 Hg1'
_cell_length_a 5.4749
_cell_length_b 5.4749
_cell_length_c 4.1532
_cell_angle_alpha 90.00
_cell_angle_beta 90.00
_cell_angle_gamma 90.00
_space_group_name_H-M_alt 'P 4/m m m'
_space_group_IT_number 123
_space_group_name_Hall '-P 4 2'
loop_
_atom_site_label
_atom_site_type_symbol
_atom_site_fract_x
_atom_site_fract_y
_atom_site_fract_z
_atom_site_occupancy
Eu1 Eu 0.0000 0.5000 0.0000 1
Lu1 Lu 0.0000 0.0000 0.5000 1
Hg1 Hg 0.5000 0.5000 0.5000 1
```

Computed properties:
distance to the lowest polymorph of the same formula = 0.065 eV per atom
formation energy from the elements = -0.11 eV/atom

---

4.
First-principles (PBE) data for a relaxed EuLuMgHg crystal, as listed in the Alexandria database.

```
data_EuLuMgHg
_chemical_formula_sum 'Eu4 Lu4 Mg4 Hg4'
_cell_length_a 7.5933
_cell_length_b 7.5933
_cell_length_c 7.5933
_cell_angle_alpha 90.00
_cell_angle_beta 90.00
_cell_angle_gamma 90.00
_space_group_name_H-M_alt 'F -4 3 m'
_space_group_IT_number 216
_space_group_name_Hall 'F -4 2 3'
loop_
_atom_site_label
_atom_site_type_symbol
_atom_site_fract_x
_atom_site_fract_y
_atom_site_fract_z
_atom_site_occupancy
Eu1 Eu 0.0000 0.0000 0.0000 1
Lu1 Lu 0.0000 0.0000 0.5000 1
Mg1 Mg 0.2500 0.2500 0.7500 1
Hg1 Hg 0.2500 0.2500 0.2500 1
```

Computed properties:
formation energy from the elements = -0.23 eV/atom

---

5.
First-principles (PBE) data for a relaxed NaEuLuHg crystal, as listed in the Alexandria database.

```
data_NaEuLuHg
_chemical_formula_sum 'Na4 Eu4 Lu4 Hg4'
_cell_length_a 7.6977
_cell_length_b 7.6977
_cell_length_c 7.6977
_cell_angle_alpha 90.00
_cell_angle_beta 90.00
_cell_angle_gamma 90.00
_space_group_name_H-M_alt 'F -4 3 m'
_space_group_IT_number 216
_space_group_name_Hall 'F -4 2 3'
loop_
_atom_site_label
_atom_site_type_symbol
_atom_site_fract_x
_atom_site_fract_y
_atom_site_fract_z
_atom_site_occupancy
Na1 Na 0.0000 0.0000 0.0000 1
Eu1 Eu 0.2500 0.2500 0.7500 1
Lu1 Lu 0.2500 0.2500 0.2500 1
Hg1 Hg 0.0000 0.0000 0.5000 1
```

Computed properties:
formation energy from the elements = -0.06 eV/atom

---

6.
First-principles (PBE) data for a relaxed PmEuLuHg crystal, as listed in the Alexandria database.

```
data_PmEuLuHg
_chemical_formula_sum 'Pm4 Eu4 Lu4 Hg4'
_cell_length_a 7.7440
_cell_length_b 7.7440
_cell_length_c 7.7440
_cell_angle_alpha 90.00
_cell_angle_beta 90.00
_cell_angle_gamma 90.00
_space_group_name_H-M_alt 'F -4 3 m'
_space_group_IT_number 216
_space_group_name_Hall 'F -4 2 3'
loop_
_atom_site_label
_atom_site_type_symbol
_atom_site_fract_x
_atom_site_fract_y
_atom_site_fract_z
_atom_site_occupancy
Pm1 Pm 0.0000 0.0000 0.0000 1
Eu1 Eu 0.2500 0.2500 0.7500 1
Lu1 Lu 0.2500 0.2500 0.2500 1
Hg1 Hg 0.0000 0.0000 0.5000 1
```

Computed properties:
formation energy from the elements = 0.01 eV/atom

---

Fermi-level density of states? In order: 4.08, 3.81, 2.53, 7.66, 6.76, 5.62 states/eV/f.u..
Total magnetic moment? In order: 15.4, 14.4, 14.4, 7.0, 7.2, 9.1 μB per formula unit.
Total DFT energy (no corrections)? In order: -6.52, -6.39, -6.45, -4.40, -4.17, -4.95 eV per atom.